The following is a GGA-PBE calculation of a relaxed structure of CuReSn3, from Alexandria.

```
CuReSn3
1.0
4.971 0.000 0.000
0.000 4.971 0.000
0.000 0.000 4.971
Cu Re Sn
1 1 3
direct
0.000 0.000 0.000 Cu
0.500 0.500 0.500 Re
0.000 0.000 0.500 Sn
0.000 0.500 0.000 Sn
0.500 0.000 0.000 Sn
```

Output
As for the energy above the lowest structure with this stoichiometry: 615 meV/atom. The formation enthalpy at 0 K comes out at 1.18 eV/atom. The calculation puts the total energy at -22.632 eV for the cell shown.

***

The following is a GGA-PBE calculation of a relaxed structure of Dy4RuRh2Au, from Alexandria.

```
Dy4RuRh2Au
1.0
2.451 1.415 7.981
-2.451 1.415 7.981
0.000 -2.830 7.981
Dy Ru Rh Au
4 1 2 1
direct
0.121 0.121 0.121 Dy
0.372 0.372 0.372 Dy
0.628 0.628 0.628 Dy
0.879 0.879 0.879 Dy
0.000 0.000 0.000 Ru
0.251 0.251 0.251 Rh
0.749 0.749 0.749 Rh
0.500 0.500 0.500 Au
```

Output
The formation enthalpy at 0 K comes out at -0.73 eV/atom. The calculation puts the total energy at -51.530 eV for the cell shown.

***

The following is a GGA-PBE calculation of a relaxed structure of MnCrFe2H4, from Alexandria.

```
MnCrFe2H4
1.0
4.533 0.000 0.000
0.000 2.611 0.000
-1.527 0.000 4.275
Mn Cr Fe H
1 1 2 4
direct
0.000 0.000 0.000 Mn
0.500 0.500 0.000 Cr
0.000 0.500 0.500 Fe
0.500 0.000 0.500 Fe
0.244 0.000 0.739 H
0.251 0.500 0.260 H
0.749 0.500 0.740 H
0.756 0.000 0.261 H
```

Output
The calculation puts the total energy at -49.198 eV for the cell shown.

***

The following is a GGA-PBE calculation of a relaxed structure of Zr2SbTe, from Alexandria.

```
Zr2SbTe
1.0
7.750 0.000 0.000
0.000 7.224 0.000
-0.002 0.000 7.125
Zr Sb Te
8 4 4
direct
0.124 0.193 0.004 Zr
0.124 0.307 0.504 Zr
0.374 0.692 0.494 Zr
0.374 0.808 0.994 Zr
0.626 0.192 0.006 Zr
0.626 0.308 0.506 Zr
0.876 0.693 0.496 Zr
0.876 0.807 0.996 Zr
0.124 0.576 0.205 Sb
0.124 0.924 0.705 Sb
0.876 0.076 0.295 Sb
0.876 0.424 0.795 Sb
0.375 0.076 0.293 Te
0.375 0.424 0.793 Te
0.625 0.576 0.207 Te
0.625 0.924 0.707 Te
```

Output
As for the energy above the lowest structure with this stoichiometry: 0 meV/atom. The calculation puts the total energy at -109.488 eV for the cell shown.